1.
Er2UFe2 | GGA-PBE | relaxed

VASP energy = -38.20 eV per formula unit
formation enthalpy at 0 K = -0.9 eV per formula unit

a b c (Å): 10.4292 5.9529 6.9915
angles (deg): 90.00 106.56 90.00
Last column: nearest neighbours and their distance in Å.
Space group C2/c (No. 15)
Inequivalent atoms, fractional coordinates:
Er  0.1563  0.1007  0.1380 [8 per cell]  4 Fe 2.82-2.94
U  0.0000  0.4751  0.7500 [4 per cell]  2 Fe 2.16
Fe  0.1459  0.3603  0.4916 [8 per cell]  1 U 2.16

2.
Er2U2Fe3 | GGA-PBE | relaxed

VASP energy = -57.10 eV per formula unit
formation enthalpy at 0 K = 0.0 eV per formula unit

a b c (Å): 4.1370 4.4117 8.0498
angles (deg): 100.26 97.58 104.29
Last column: nearest neighbours and their distance in Å.
Space group P-1 (No. 2)
Inequivalent atoms, fractional coordinates:
Er  0.2394  0.1815  0.3889 [2 per cell]  3 Fe 2.73-3.05
U  0.2214  0.5843  0.8732 [2 per cell]  2 Fe 2.12-2.38
Fe  0.0000  0.0000  0.0000 [1 per cell]  2 U 2.38
Fe  0.4412  0.2139  0.7824 [2 per cell]  1 U 2.12

3.
ErUFe2 | GGA-PBE | relaxed

VASP energy = -32.94 eV per formula unit
formation enthalpy at 0 K = -0.2 eV per formula unit

a b c (Å): 3.2425 3.2425 6.7255
angles (deg): 90.00 90.00 90.00
Last column: nearest neighbours and their distance in Å.
Space group P4/mmm (No. 123)
Inequivalent atoms, fractional coordinates:
Er  0.0000  0.0000  0.0000 [1 per cell]  8 Fe 3.07, 4 Er 3.24, 2 U 3.36
U  0.0000  0.0000  0.5000 [1 per cell]  8 Fe 2.65
Fe  0.5000  0.5000  0.3031 [2 per cell]  4 U 2.65, 1 Fe 2.65

4.
Er2UFe3 | GGA-PBE | relaxed

VASP energy = -46.45 eV per formula unit
formation enthalpy at 0 K = -0.6 eV per formula unit

a b c (Å): 5.0415 10.7253 4.0846
angles (deg): 90.00 90.00 90.00
Last column: nearest neighbours and their distance in Å.
Space group Pnnm (No. 58)
Inequivalent atoms, fractional coordinates:
Er  0.2187  0.2109  0.0000 [4 per cell]  7 Fe 2.95-3.24, 1 U 3.29
U  0.0000  0.5000  0.0000 [2 per cell]  6 Fe 2.43-2.52
Fe  0.0000  0.0000  0.5000 [2 per cell]  2 U 2.52, 4 Fe 2.57
Fe  0.2230  0.4358  0.5000 [4 per cell]  2 U 2.43, 3 Fe 2.57-2.64

5.
ErUFe2 | GGA-PBE | relaxed

VASP energy = -33.45 eV per formula unit
formation enthalpy at 0 K = -0.7 eV per formula unit

a b c (Å): 6.3627 4.8393 9.4055
angles (deg): 90.00 90.00 90.00
Last column: nearest neighbours and their distance in Å.
Space group Pnma (No. 62)
Inequivalent atoms, fractional coordinates:
Er  0.1458  0.2500  0.1463 [4 per cell]  7 Fe 2.80-3.09
U  0.0185  0.2500  0.6322 [4 per cell]  2 Fe 2.10-2.13
Fe  0.1110  0.2500  0.8499 [4 per cell]  1 U 2.13
Fe  0.2291  0.2500  0.4608 [4 per cell]  1 U 2.10

6.
ErUFe3 | GGA-PBE | relaxed

VASP energy = -41.57 eV per formula unit
formation enthalpy at 0 K = -0.3 eV per formula unit

a b c (Å): 5.8697 10.4607 5.3830
angles (deg): 90.00 90.00 90.00
Last column: nearest neighbours and their distance in Å.
Space group Cmcm (No. 63)
Inequivalent atoms, fractional coordinates:
Er  0.0000  0.0820  0.2500 [4 per cell]  12 Fe 3.01-3.34, 2 Er 3.19, 2 U 3.28
U  0.0000  0.2771  0.7500 [4 per cell]  2 Fe 2.12
Fe  0.0000  0.5000  0.0000 [4 per cell]  6 Fe 2.45-2.69, 2 U 2.69
Fe  0.2108  0.3446  0.2500 [8 per cell]  1 U 2.12

7.
ErUFe3 | GGA-PBE | relaxed

VASP energy = -41.82 eV per formula unit
formation enthalpy at 0 K = -0.6 eV per formula unit

a b c (Å): 5.6085 5.6085 17.3785
angles (deg): 90.00 90.00 120.00
Last column: nearest neighbours and their distance in Å.
Space group R-3m (No. 166, hexagonal axes)
Inequivalent atoms, fractional coordinates:
Er  0.0000  0.0000  0.0994 [6 per cell]  9 Fe 2.81
U  0.0000  0.0000  0.3336 [6 per cell]  6 Fe 2.39-2.46
Fe  0.0096  0.5048  0.1037 [18 per cell]  2 U 2.39-2.46

8.
Er3UFe8 | GGA-PBE | relaxed

VASP energy = -93.67 eV per formula unit
formation enthalpy at 0 K = -1.0 eV per formula unit

a b c (Å): 5.1074 5.1074 24.7176
angles (deg): 90.00 90.00 120.00
Last column: nearest neighbours and their distance in Å.
Space group R3m (No. 160, hexagonal axes)
Inequivalent atoms, fractional coordinates:
Er  0.0000  0.0000  0.0000 [3 per cell]  12 Fe 2.95-2.99, 3 U 3.10, 1 Er 3.10
Er  0.0000  0.0000  0.1254 [3 per cell]  12 Fe 2.98-3.00, 4 Er 3.10-3.13
Er  0.0000  0.0000  0.5007 [3 per cell]  12 Fe 2.99-3.00, 3 Er 3.13, 1 U 3.16
U  0.0000  0.0000  0.6285 [3 per cell]  12 Fe 2.88-3.02, 4 Er 3.10-3.16
Fe  0.0000  0.0000  0.3124 [3 per cell]  6 Fe 2.51-2.52
Fe  0.0000  0.0000  0.8126 [3 per cell]  6 Fe 2.55
Fe  0.0005  0.5003  0.5634 [9 per cell]  6 Fe 2.51-2.56
Fe  0.1672  0.3344  0.3952 [9 per cell]  6 Fe 2.52-2.56

9.
ErVFe | GGA-PBE | relaxed

VASP energy = -21.56 eV per formula unit
formation enthalpy at 0 K = 0.6 eV per formula unit

a b c (Å): 3.8009 3.8009 28.5194
angles (deg): 90.00 90.00 120.00
Last column: nearest neighbours and their distance in Å.
Space group R-3m (No. 166, hexagonal axes)
Inequivalent atoms, fractional coordinates:
Er  0.0000  0.0000  0.1121 [6 per cell]  3 Fe 2.77
V  0.0000  0.0000  0.3018 [6 per cell]  4 Fe 2.28-2.40
Fe  0.0000  0.0000  0.3861 [6 per cell]  4 V 2.28-2.40

10.
Er2VFe | GGA-PBE | relaxed

VASP energy = -23.80 eV per formula unit
formation enthalpy at 0 K = 2.9 eV per formula unit

a b c (Å): 3.2165 3.2165 29.0123
angles (deg): 90.00 90.00 120.00
Last column: nearest neighbours and their distance in Å.
Space group R-3m (No. 166, hexagonal axes)
Inequivalent atoms, fractional coordinates:
Er  0.0000  0.0000  0.0986 [6 per cell]  3 Fe 2.71, 1 V 2.86
V  0.0000  0.0000  0.0000 [3 per cell]  2 Er 2.86
Fe  0.0000  0.0000  0.5000 [3 per cell]  6 Er 2.71

11.
ErV2Fe | GGA-PBE | relaxed

VASP energy = -30.04 eV per formula unit
formation enthalpy at 0 K = 1.2 eV per formula unit

a b c (Å): 3.9670 3.9670 15.7105
angles (deg): 90.00 90.00 120.00
Last column: nearest neighbours and their distance in Å.
Space group R-3m (No. 166, hexagonal axes)
Inequivalent atoms, fractional coordinates:
Er  0.0000  0.0000  0.0000 [3 per cell]  8 V 3.07-3.20
V  0.0000  0.0000  0.2036 [6 per cell]  3 Fe 2.36, 3 V 2.57
Fe  0.0000  0.0000  0.5000 [3 per cell]  6 V 2.36

12.
Er2V2Fe15 | GGA-PBE | relaxed

VASP energy = -155.47 eV per formula unit
formation enthalpy at 0 K = -1.2 eV per formula unit

a b c (Å): 8.3411 8.3411 12.4880
angles (deg): 90.00 90.00 120.00
Last column: nearest neighbours and their distance in Å.
Space group R-3m (No. 166, hexagonal axes)
Inequivalent atoms, fractional coordinates:
Er  0.0000  0.0000  0.1548 [6 per cell]  15 Fe 2.91-3.21, 1 V 3.11
V  0.0000  0.0000  0.4041 [6 per cell]  1 V 2.40, 6 Fe 2.56-2.60
Fe  0.0000  0.3044  0.5000 [18 per cell]  8 Fe 2.45-2.57
Fe  0.0000  0.5000  0.0000 [9 per cell]  8 Fe 2.41-2.45, 2 V 2.56
Fe  0.0007  0.5004  0.3412 [18 per cell]  8 Fe 2.41-2.57, 1 V 2.60

13.
Er3VFe8 | GGA-PBE | relaxed

VASP energy = -91.60 eV per formula unit
formation enthalpy at 0 K = -1.1 eV per formula unit

a b c (Å): 5.0226 5.0226 24.6147
angles (deg): 90.00 90.00 120.00
Last column: nearest neighbours and their distance in Å.
Space group R3m (No. 160, hexagonal axes)
Inequivalent atoms, fractional coordinates:
Er  0.0000  0.0000  0.0000 [3 per cell]  12 Fe 2.85-2.94, 3 V 3.05, 1 Er 3.12
Er  0.0000  0.0000  0.1267 [3 per cell]  12 Fe 2.95-3.00, 4 Er 3.10-3.12
Er  0.0000  0.0000  0.5049 [3 per cell]  12 Fe 2.94-3.07, 1 V 3.03, 3 Er 3.10
V  0.0000  0.0000  0.6282 [3 per cell]  12 Fe 2.86-2.94, 4 Er 3.03-3.05
Fe  0.0000  0.0000  0.3142 [3 per cell]  6 Fe 2.46-2.48
Fe  0.0000  0.0000  0.8146 [3 per cell]  6 Fe 2.55-2.56
Fe  0.0001  0.5001  0.5669 [9 per cell]  6 Fe 2.46-2.56
Fe  0.1679  0.3358  0.3955 [9 per cell]  6 Fe 2.48-2.55

14.
ErVFe10 | GGA-PBE | relaxed

VASP energy = -97.42 eV per formula unit
formation enthalpy at 0 K = 0.9 eV per formula unit

a b c (Å): 4.0070 4.7908 8.2493
angles (deg): 90.00 90.00 90.00
Last column: nearest neighbours and their distance in Å.
Space group Pmmm (No. 47)
Inequivalent atoms, fractional coordinates:
Er  0.0000  0.0000  0.0000 [1 per cell]  18 Fe 2.85-3.16
V  0.0000  0.5000  0.5000 [1 per cell]  6 Fe 2.58-2.71
Fe  0.0000  0.0000  0.3454 [2 per cell]  7 Fe 2.38-2.55
Fe  0.0000  0.5000  0.1878 [2 per cell]  6 Fe 2.40-2.53, 1 V 2.58
Fe  0.5000  0.0000  0.5000 [1 per cell]  8 Fe 2.33-2.38
Fe  0.5000  0.2520  0.2584 [4 per cell]  8 Fe 2.33-2.45
Fe  0.5000  0.5000  0.0000 [1 per cell]  8 Fe 2.44-2.53

15.
ErVFe2 | GGA-PBE | relaxed

VASP energy = -30.47 eV per formula unit
formation enthalpy at 0 K = 0.1 eV per formula unit

a b c (Å): 2.9830 2.9830 6.5318
angles (deg): 90.00 90.00 90.00
Last column: nearest neighbours and their distance in Å.
Space group P4/mmm (No. 123)
Inequivalent atoms, fractional coordinates:
Er  0.0000  0.0000  0.0000 [1 per cell]  8 Fe 2.87, 4 Er 2.98
V  0.0000  0.0000  0.5000 [1 per cell]  8 Fe 2.49
Fe  0.5000  0.5000  0.2978 [2 per cell]  4 V 2.49, 1 Fe 2.64

16.
ErV2Fe9 | GGA-PBE | relaxed

VASP energy = -99.58 eV per formula unit
formation enthalpy at 0 K = -0.6 eV per formula unit

a b c (Å): 4.8202 4.8202 23.3110
angles (deg): 90.00 90.00 120.00
Last column: nearest neighbours and their distance in Å.
Space group R-3m (No. 166, hexagonal axes)
Inequivalent atoms, fractional coordinates:
Er  0.0000  0.0000  0.0000 [3 per cell]  6 Fe 2.78
V  0.0000  0.0000  0.1448 [6 per cell]  12 Fe 2.72-2.83, 3 V 2.96
Fe  0.0000  0.0000  0.3333 [6 per cell]  6 Fe 2.46-2.48
Fe  0.0000  0.0000  0.5000 [3 per cell]  6 Fe 2.32
Fe  0.0045  0.5022  0.9123 [18 per cell]  7 Fe 2.32-2.48

17.
ErFe4W | GGA-PBE | relaxed

VASP energy = -50.94 eV per formula unit
formation enthalpy at 0 K = 0.4 eV per formula unit

a b c (Å): 6.9506 6.9506 6.9506
angles (deg): 90.00 90.00 90.00
Last column: nearest neighbours and their distance in Å.
Space group F-43m (No. 216)
Inequivalent atoms, fractional coordinates:
Er  0.0000  0.0000  0.0000 [4 per cell]  12 Fe 2.88, 4 W 3.01
Fe  0.1241  0.1241  0.6241 [16 per cell]  6 Fe 2.44-2.48
W  0.2500  0.2500  0.2500 [4 per cell]  12 Fe 2.88, 4 Er 3.01

18.
YEr3Fe34 | GGA-PBE | relaxed

VASP energy = -308.61 eV per formula unit
formation enthalpy at 0 K = -0.7 eV per formula unit

a b c (Å): 8.4393 8.4393 8.2338
angles (deg): 90.00 90.00 120.00
Last column: nearest neighbours and their distance in Å.
Space group P-6m2 (No. 187)
Inequivalent atoms, fractional coordinates:
Y  0.0000  0.0000  0.0000 [1 per cell]  20 Fe 2.94-3.19
Er  0.3333  0.6667  0.0000 [1 per cell]  18 Fe 2.95-3.26
Er  0.3333  0.6667  0.5000 [1 per cell]  18 Fe 2.95-3.26
Er  0.6667  0.3333  0.5000 [1 per cell]  20 Fe 2.93-3.18
Fe  0.0000  0.0000  0.3569 [2 per cell]  4 Fe 2.36-2.59
Fe  0.0020  0.5010  0.2655 [6 per cell]  9 Fe 2.43-2.65
Fe  0.0043  0.2999  0.5000 [6 per cell]  8 Fe 2.44-2.58
Fe  0.1680  0.3360  0.2349 [6 per cell]  9 Fe 2.43-2.65
Fe  0.3338  0.1669  0.2504 [6 per cell]  10 Fe 2.44-2.59
Fe  0.3721  0.0341  0.0000 [6 per cell]  8 Fe 2.44-2.58
Fe  0.6667  0.3333  0.1437 [2 per cell]  7 Fe 2.37-2.65

19.
Y2ErFe9 | GGA-PBE | relaxed

VASP energy = -94.50 eV per formula unit
formation enthalpy at 0 K = -0.8 eV per formula unit

a b c (Å): 5.0931 5.0931 24.2242
angles (deg): 90.00 90.00 120.00
Last column: nearest neighbours and their distance in Å.
Space group R-3m (No. 166, hexagonal axes)
Inequivalent atoms, fractional coordinates:
Y  0.0000  0.0000  0.1417 [6 per cell]  12 Fe 2.94-3.06, 3 Y 3.18
Er  0.0000  0.0000  0.0000 [3 per cell]  18 Fe 2.94-3.21
Fe  0.0000  0.0000  0.3328 [6 per cell]  6 Fe 2.44-2.46
Fe  0.0000  0.0000  0.5000 [3 per cell]  6 Fe 2.55
Fe  0.0005  0.5003  0.0808 [18 per cell]  7 Fe 2.44-2.55

20.
YEr2Fe9 | GGA-PBE | relaxed

VASP energy = -92.86 eV per formula unit
formation enthalpy at 0 K = -1.1 eV per formula unit

a b c (Å): 5.0746 5.0746 24.1059
angles (deg): 90.00 90.00 120.00
Last column: nearest neighbours and their distance in Å.
Space group R-3m (No. 166, hexagonal axes)
Inequivalent atoms, fractional coordinates:
Y  0.0000  0.0000  0.0000 [3 per cell]  18 Fe 2.93-3.22
Er  0.0000  0.0000  0.1421 [6 per cell]  12 Fe 2.92-3.01, 3 Er 3.16
Fe  0.0000  0.0000  0.3329 [6 per cell]  6 Fe 2.45-2.47
Fe  0.0000  0.0000  0.5000 [3 per cell]  6 Fe 2.51
Fe  0.9998  0.4999  0.0820 [18 per cell]  7 Fe 2.45-2.54

21.
YEr2Fe | GGA-PBE | relaxed

VASP energy = -22.77 eV per formula unit
formation enthalpy at 0 K = 1.3 eV per formula unit

a b c (Å): 4.6490 4.6490 16.1444
angles (deg): 90.00 90.00 120.00
Last column: nearest neighbours and their distance in Å.
Space group R-3m (No. 166, hexagonal axes)
Inequivalent atoms, fractional coordinates:
Y  0.0000  0.0000  0.0000 [3 per cell]  8 Er 3.25-3.55
Er  0.0000  0.0000  0.2197 [6 per cell]  3 Fe 2.82
Fe  0.0000  0.0000  0.5000 [3 per cell]  6 Er 2.82